Here is KCuAgI3 after structural relaxation from Alexandria via LeMat-Bulk. Energies are from PBE.

Computed properties:
energy relative to the elements, uncorrected	-0.58	eV/atom
space group	No. 11
total energy	-2.699	eV per atom

a b c (Å): 9.678 4.353 10.249
angles (deg): 90.00 102.29 90.00
Fractional positions:
K 0.181 0.250 0.216
K 0.819 0.750 0.784
Cu 0.064 0.250 0.569
Cu 0.936 0.750 0.431
Ag 0.351 0.750 0.892
Ag 0.649 0.250 0.108
I 0.121 0.250 0.840
I 0.210 0.750 0.516
I 0.456 0.750 0.179
I 0.544 0.250 0.821
I 0.790 0.250 0.484
I 0.879 0.750 0.160